First-principles (GGA-PBE) data for K2AgGeCl5 after structural relaxation, as listed in Alexandria.

Values from the calculation:
Total magnetic moment ... 0.000 μB/atom
Space-group type ... Cmc2_1 (36)
ΔE_f (raw) ... -1.22 eV per atom

```
18
Lattice="-0.1975 1.9132 4.0704 7.4491 -5.3114 0.3684 7.4873 10.1936 -4.4280" Properties=species:S:1:pos:R:3 pbc="T T T"
K 11.1734 6.2867 0.0768
K 6.4953 5.9157 -2.4654
K 4.6261 1.9529 -0.6934
K 7.0068 -0.8040 3.2075
Ag 8.1514 4.3590 0.8363
Ag 3.8423 -1.3009 0.7979
Ge 7.5909 10.0998 -1.8893
Ge 9.9392 0.4957 0.2493
Cl 12.8061 7.0101 -2.6736
Cl 8.7489 8.2816 -0.9785
Cl 12.8894 3.5785 -1.0566
Cl 9.1248 4.4491 -1.6484
Cl 10.1287 2.7326 1.6967
Cl 5.6433 4.8371 0.4899
Cl 7.6223 0.7363 0.0238
Cl 2.0979 3.5553 0.9203
Cl 4.4707 0.7898 2.3353
Cl 1.3994 -0.3085 0.2129
```